Entry from Alexandria via LeMat-Bulk: a geometry-optimized Tl2HO structure (GGA-PBE).

abc: 5.706 5.706 6.502
angles: 63.97 63.97 90.00
Element x y z (fractional)
Tl 0.131 0.625 0.250
Tl 0.875 0.869 0.750
Tl 0.375 0.381 0.750
Tl 0.619 0.125 0.250
O 0.000 0.000 0.000
O 0.750 0.250 0.500
H 0.250 0.750 0.500
H 0.500 0.500 0.000

Values from the calculation:
Size of the total moment, μB/f.u.: 0.00
Space group: No. 122
Final energy, eV/atom: -3.3655

Entry from Alexandria via LeMat-Bulk: a geometry-optimized Tl3HO2 structure (GGA-PBE).

abc: 3.717 7.193 12.133
angles: 107.54 98.81 90.00
Element x y z (fractional)
Tl 0.934 0.062 0.867
Tl 0.272 0.288 0.543
Tl 0.728 0.712 0.457
Tl 0.066 0.938 0.133
Tl 0.564 0.447 0.128
Tl 0.436 0.553 0.872
O 0.037 0.227 0.075
O 0.708 0.347 0.416
O 0.963 0.773 0.925
O 0.292 0.653 0.584
H 0.669 0.252 0.338
H 0.331 0.748 0.662

Values from the calculation:
Size of the total moment, μB/f.u.: 0.00
Space group: No. 12
Final energy, eV/atom: -4.0724

Entry from Alexandria via LeMat-Bulk: a geometry-optimized TlHO3 structure (GGA-PBE).

abc: 3.543 3.543 3.543
angles: 90.00 90.00 90.00
Element x y z (fractional)
H 0.000 0.000 0.000
O 0.500 0.000 0.000
O 0.000 0.000 0.500
O 0.000 0.500 0.000
Tl 0.500 0.500 0.500

Values from the calculation:
Size of the total moment, μB/f.u.: 2.16
Space group: No. 221
Final energy, eV/atom: -3.5291

Entry from Alexandria via LeMat-Bulk: a geometry-optimized TlHO2 structure (GGA-PBE).

abc: 7.695 7.695 3.530
angles: 90.00 90.00 147.06
Element x y z (fractional)
O 0.074 0.926 0.750
O 0.305 0.695 0.250
O 0.695 0.305 0.750
O 0.926 0.074 0.250
H 0.629 0.371 0.750
H 0.371 0.629 0.250
Tl 0.151 0.849 0.250
Tl 0.849 0.151 0.750

Values from the calculation:
Size of the total moment, μB/f.u.: 0.00
Space group: No. 63
Final energy, eV/atom: -4.3248

Entry from Alexandria via LeMat-Bulk: a geometry-optimized TlHO2 structure (GGA-PBE).

abc: 4.429 3.518 13.311
angles: 90.00 90.00 90.00
Element x y z (fractional)
H 0.075 0.750 0.266
H 0.425 0.250 0.766
H 0.575 0.750 0.234
H 0.925 0.250 0.734
Tl 0.250 0.250 0.420
Tl 0.750 0.750 0.580
Tl 0.250 0.750 0.920
Tl 0.750 0.250 0.080
O 0.234 0.250 0.808
O 0.251 0.750 0.536
O 0.749 0.250 0.464
O 0.751 0.750 0.964
O 0.766 0.750 0.192
O 0.734 0.250 0.692
O 0.249 0.250 0.036
O 0.266 0.750 0.308

Values from the calculation:
Size of the total moment, μB/f.u.: 0.00
Space group: No. 62
Final energy, eV/atom: -4.7208

Entry from Alexandria via LeMat-Bulk: a geometry-optimized TlH3O structure (GGA-PBE).

abc: 3.590 3.590 3.590
angles: 90.00 90.00 90.00
Element x y z (fractional)
O 0.000 0.000 0.000
H 0.500 0.000 0.000
H 0.000 0.000 0.500
H 0.000 0.500 0.000
Tl 0.500 0.500 0.500

Values from the calculation:
Size of the total moment, μB/f.u.: 0.00
Space group: No. 221
Final energy, eV/atom: -2.7179

Entry from Alexandria via LeMat-Bulk: a geometry-optimized TlHO2 structure (GGA-PBE).

abc: 3.529 3.523 5.186
angles: 89.99 109.51 119.95
Element x y z (fractional)
Tl 0.101 0.303 0.657
O 0.931 0.718 0.906
O 0.296 0.900 0.446
H 0.077 0.791 0.122

Values from the calculation:
Size of the total moment, μB/f.u.: 0.00
Space group: No. 8
Final energy, eV/atom: -4.7119

Entry from Alexandria via LeMat-Bulk: a geometry-optimized TlHO2 structure (GGA-PBE).

abc: 3.379 3.379 4.110
angles: 90.00 90.00 90.00
Element x y z (fractional)
Tl 0.500 0.500 0.000
O 0.500 0.500 0.500
O 0.000 0.000 0.000
H 0.000 0.000 0.500

Values from the calculation:
Size of the total moment, μB/f.u.: 0.00
Space group: No. 123
Final energy, eV/atom: -3.6769

Entry from Alexandria via LeMat-Bulk: a geometry-optimized Tl3H2O4 structure (GGA-PBE).

abc: 6.289 6.731 6.731
angles: 76.67 100.63 100.63
Element x y z (fractional)
Tl 0.662 0.730 0.983
Tl 0.838 0.017 0.270
Tl 0.250 0.597 0.403
Tl 0.162 0.983 0.730
Tl 0.338 0.270 0.017
Tl 0.750 0.403 0.597
O 0.435 0.954 0.299
O 0.978 0.279 0.463
O 0.522 0.537 0.721
O 0.935 0.299 0.954
O 0.478 0.463 0.279
O 0.565 0.046 0.701
O 0.022 0.721 0.537
O 0.065 0.701 0.046
H 0.909 0.396 0.032
H 0.591 0.968 0.604
H 0.091 0.604 0.968
H 0.409 0.032 0.396

Values from the calculation:
Size of the total moment, μB/f.u.: 0.00
Space group: No. 15
Final energy, eV/atom: -4.3972

Entry from Alexandria via LeMat-Bulk: a geometry-optimized TlHO3 structure (GGA-PBE).

abc: 4.252 4.252 4.252
angles: 90.00 90.00 90.00
Element x y z (fractional)
Tl 0.000 0.000 0.000
O 0.000 0.000 0.500
O 0.000 0.500 0.000
O 0.500 0.000 0.000
H 0.500 0.500 0.500

Values from the calculation:
Size of the total moment, μB/f.u.: 1.60
Space group: No. 221
Final energy, eV/atom: -3.0603

Entry from Alexandria via LeMat-Bulk: a geometry-optimized TlHO2 structure (GGA-PBE).

abc: 3.518 3.518 5.068
angles: 90.00 90.00 120.00
Element x y z (fractional)
Tl 0.000 0.000 0.987
O 0.667 0.333 0.180
O 0.333 0.667 0.741
H 0.333 0.667 0.547

Values from the calculation:
Size of the total moment, μB/f.u.: 0.00
Space group: No. 156
Final energy, eV/atom: -4.6451

Entry from Alexandria via LeMat-Bulk: a geometry-optimized TlH3O structure (GGA-PBE).

abc: 3.803 3.803 3.803
angles: 90.00 90.00 90.00
Element x y z (fractional)
Tl 0.000 0.000 0.000
O 0.500 0.500 0.500
H 0.000 0.500 0.000
H 0.500 0.000 0.000
H 0.000 0.000 0.500

Values from the calculation:
Size of the total moment, μB/f.u.: 1.58
Space group: No. 221
Final energy, eV/atom: -2.5504

Entry from Alexandria via LeMat-Bulk: a geometry-optimized Tl2H3O2 structure (GGA-PBE).

abc: 3.918 9.484 3.943
angles: 101.79 108.06 110.49
Element x y z (fractional)
Tl 0.839 0.763 0.712
Tl 0.161 0.237 0.288
O 0.646 0.335 0.991
O 0.354 0.665 0.009
H 0.000 0.000 0.000
H 0.228 0.548 0.902
H 0.772 0.452 0.098

Values from the calculation:
Size of the total moment, μB/f.u.: 0.00
Space group: No. 2
Final energy, eV/atom: -4.0195

Entry from Alexandria via LeMat-Bulk: a geometry-optimized Tl3HO structure (GGA-PBE).

abc: 5.214 5.214 5.214
angles: 90.00 90.00 90.00
Element x y z (fractional)
O 0.000 0.000 0.000
H 0.500 0.500 0.500
Tl 0.000 0.500 0.000
Tl 0.000 0.000 0.500
Tl 0.500 0.000 0.000

Values from the calculation:
Size of the total moment, μB/f.u.: 0.00
Space group: No. 221
Final energy, eV/atom: -2.8838

Entry from Alexandria via LeMat-Bulk: a geometry-optimized TlHO2 structure (GGA-PBE).

abc: 5.969 5.969 5.969
angles: 31.93 31.93 31.93
Element x y z (fractional)
H 0.500 0.500 0.500
O 0.116 0.116 0.116
O 0.884 0.884 0.884
Tl 0.000 0.000 0.000

Values from the calculation:
Size of the total moment, μB/f.u.: 0.00
Space group: No. 166
Final energy, eV/atom: -3.1968

Entry from Alexandria via LeMat-Bulk: a geometry-optimized TlHO2 structure (GGA-PBE).

abc: 8.441 8.441 3.587
angles: 90.00 90.00 157.60
Element x y z (fractional)
H 0.011 0.989 0.750
H 0.989 0.011 0.250
Tl 0.666 0.334 0.750
Tl 0.334 0.666 0.250
O 0.071 0.929 0.750
O 0.929 0.071 0.250
O 0.801 0.199 0.750
O 0.199 0.801 0.250

Values from the calculation:
Size of the total moment, μB/f.u.: 0.00
Space group: No. 63
Final energy, eV/atom: -4.5216

Entry from Alexandria via LeMat-Bulk: a geometry-optimized TlHO2 structure (GGA-PBE).

abc: 5.812 3.496 3.496
angles: 129.95 119.40 60.60
Element x y z (fractional)
O 0.237 0.334 0.666
O 0.763 0.666 0.334
H 0.000 0.000 0.000
Tl 0.500 0.500 0.500

Values from the calculation:
Size of the total moment, μB/f.u.: 0.00
Space group: No. 12
Final energy, eV/atom: -3.7865

Entry from Alexandria via LeMat-Bulk: a geometry-optimized TlHO2 structure (GGA-PBE).

abc: 5.597 5.597 4.989
angles: 55.88 55.88 90.00
Element x y z (fractional)
O 0.204 0.704 0.000
O 0.704 0.796 0.000
O 0.296 0.204 0.000
O 0.796 0.296 0.000
H 0.750 0.750 0.500
H 0.250 0.250 0.500
Tl 0.250 0.750 0.500
Tl 0.750 0.250 0.500

Values from the calculation:
Size of the total moment, μB/f.u.: 0.00
Space group: No. 140
Final energy, eV/atom: -3.3514

Entry from Alexandria via LeMat-Bulk: a geometry-optimized TlHO2 structure (GGA-PBE).

abc: 4.111 4.111 5.845
angles: 90.00 90.00 77.23
Element x y z (fractional)
H 0.946 0.946 0.243
H 0.054 0.054 0.743
Tl 0.362 0.362 0.966
Tl 0.638 0.638 0.466
O 0.323 0.860 0.771
O 0.860 0.323 0.771
O 0.677 0.140 0.271
O 0.140 0.677 0.271

Values from the calculation:
Size of the total moment, μB/f.u.: 0.00
Space group: No. 36
Final energy, eV/atom: -4.5577

Entry from Alexandria via LeMat-Bulk: a geometry-optimized TlH2O2 structure (GGA-PBE).

abc: 2.887 2.887 6.731
angles: 77.62 77.62 60.00
Element x y z (fractional)
O 0.434 0.434 0.698
O 0.566 0.566 0.302
H 0.777 0.777 0.668
H 0.223 0.223 0.332
Tl 0.000 0.000 0.000

Values from the calculation:
Size of the total moment, μB/f.u.: 0.00
Space group: No. 166
Final energy, eV/atom: -3.4050

Entry from Alexandria via LeMat-Bulk: a geometry-optimized Tl2HO2 structure (GGA-PBE).

abc: 6.535 6.535 3.315
angles: 90.00 90.00 90.00
Element x y z (fractional)
H 0.000 0.000 0.000
H 0.500 0.500 0.000
Tl 0.173 0.327 0.000
Tl 0.827 0.673 0.000
Tl 0.673 0.173 0.000
Tl 0.327 0.827 0.000
O 0.147 0.647 0.500
O 0.647 0.853 0.500
O 0.853 0.353 0.500
O 0.353 0.147 0.500

Values from the calculation:
Size of the total moment, μB/f.u.: 0.00
Space group: No. 127
Final energy, eV/atom: -3.5690

Entry from Alexandria via LeMat-Bulk: a geometry-optimized Tl2HO structure (GGA-PBE).

abc: 4.587 4.587 4.587
angles: 60.00 60.00 60.00
Element x y z (fractional)
Tl 0.750 0.750 0.750
Tl 0.250 0.250 0.250
H 0.000 0.000 0.000
O 0.500 0.500 0.500

Values from the calculation:
Size of the total moment, μB/f.u.: 0.00
Space group: No. 225
Final energy, eV/atom: -3.0679

Entry from Alexandria via LeMat-Bulk: a geometry-optimized TlHO2 structure (GGA-PBE).

abc: 4.502 4.502 5.447
angles: 65.59 65.59 90.00
Element x y z (fractional)
O 0.875 0.784 0.750
O 0.375 0.466 0.750
O 0.216 0.625 0.250
O 0.534 0.125 0.250
H 0.500 0.500 0.000
H 0.250 0.750 0.500
Tl 0.750 0.250 0.500
Tl 0.000 0.000 0.000

Values from the calculation:
Size of the total moment, μB/f.u.: 0.00
Space group: No. 122
Final energy, eV/atom: -4.0148

Entry from Alexandria via LeMat-Bulk: a geometry-optimized TlHO2 structure (GGA-PBE).

abc: 5.792 5.656 5.704
angles: 90.00 90.00 90.00
Element x y z (fractional)
Tl 0.681 0.985 0.969
Tl 0.319 0.015 0.469
Tl 0.181 0.515 0.969
Tl 0.819 0.485 0.469
O 0.498 0.334 0.107
O 0.159 0.360 0.602
O 0.341 0.860 0.102
O 0.998 0.166 0.107
O 0.502 0.666 0.607
O 0.841 0.640 0.102
O 0.659 0.140 0.602
O 0.002 0.834 0.607
H 0.878 0.955 0.571
H 0.622 0.455 0.071
H 0.122 0.045 0.071
H 0.378 0.545 0.571

Values from the calculation:
Size of the total moment, μB/f.u.: 0.00
Space group: No. 33
Final energy, eV/atom: -4.6190

Entry from Alexandria via LeMat-Bulk: a geometry-optimized TlHO2 structure (GGA-PBE).

abc: 4.404 4.404 5.632
angles: 66.99 66.99 90.00
Element x y z (fractional)
O 0.369 0.369 0.263
O 0.631 0.631 0.737
O 0.119 0.619 0.763
O 0.381 0.881 0.237
H 0.500 0.500 0.000
H 0.250 0.750 0.500
Tl 0.750 0.250 0.500
Tl 0.000 0.000 0.000

Values from the calculation:
Size of the total moment, μB/f.u.: 0.00
Space group: No. 141
Final energy, eV/atom: -4.1082